Below is a relaxed structure of PmNdCuIr, with properties calculated at the PBE-GGA level.

Lattice parameters (Å, degrees): 5.0244 5.0244 5.0244 60.00 60.00 60.00
With the nearest neighbours (Å) after each atom.
Element x y z (fractional)
Pm 0.0000 0.0000 0.0000  4 Ir 3.08, 4 Cu 3.08
Nd 0.5000 0.5000 0.5000  4 Cu 3.08, 4 Ir 3.08
Cu 0.7500 0.7500 0.7500  4 Nd 3.08, 4 Pm 3.08
Ir 0.2500 0.2500 0.2500  4 Nd 3.08, 4 Pm 3.08

Properties
**N(E_F)**: 0.908 states/eV per atom
**Energy of formation from the pure elements**: -0.43 eV/atom
**Energy above the lowest structure with this stoichiometry**: 47 meV/atom
**Theoretical density**: 10.1 g/cm³
**Crystal system**: cubic